(1)
# CsTlH GGA-PBE relaxed
data_CsTlH
_chemical_formula_sum 'Cs2 Tl2 H2'
_space_group_name_H-M_alt 'P 1 c 1'
_space_group_IT_number 7
_cell_length_a 3.865
_cell_length_b 7.746
_cell_length_c 6.157
_cell_angle_alpha 90.00
_cell_angle_beta 90.27
_cell_angle_gamma 90.00
loop_
_space_group_symop_operation_xyz
'x,y,z'
'x,-y,z+1/2'
loop_
_atom_site_label
_atom_site_fract_x
_atom_site_fract_y
_atom_site_fract_z
Cs1 0.000 0.166 0.000
Tl1 0.499 0.417 0.501
H1 0.500 0.146 0.503
# * D(E_F): 2.55 states/eV per cell

=====

(2)
# CsTlH GGA-PBE relaxed
data_CsTlH
_chemical_formula_sum 'Cs2 Tl2 H2'
_space_group_name_H-M_alt 'P 1 21/m 1'
_space_group_IT_number 11
_cell_length_a 6.330
_cell_length_b 5.519
_cell_length_c 6.574
_cell_angle_alpha 90.00
_cell_angle_beta 110.24
_cell_angle_gamma 90.00
loop_
_space_group_symop_operation_xyz
'x,y,z'
'-x,-y,-z'
'-x,y+1/2,-z'
'x,-y+1/2,z'
loop_
_atom_site_label
_atom_site_fract_x
_atom_site_fract_y
_atom_site_fract_z
Cs1 0.100 0.250 0.280
Tl1 0.471 0.250 0.894
H1 0.131 0.250 0.785
# * D(E_F): 1.53 states/eV per cell

=====

(3)
# CsTlH GGA-PBE relaxed
data_CsTlH
_chemical_formula_sum 'Cs4 Tl4 H4'
_space_group_name_H-M_alt 'C 1 2/m 1'
_space_group_IT_number 12
_cell_length_a 9.520
_cell_length_b 5.499
_cell_length_c 8.342
_cell_angle_alpha 90.00
_cell_angle_beta 112.44
_cell_angle_gamma 90.00
loop_
_space_group_symop_operation_xyz
'x,y,z'
'-x,-y,-z'
'-x,y,-z'
'x,-y,z'
'x+1/2,y+1/2,z'
'-x+1/2,-y+1/2,-z'
'-x+1/2,y+1/2,-z'
'x+1/2,-y+1/2,z'
loop_
_atom_site_label
_atom_site_fract_x
_atom_site_fract_y
_atom_site_fract_z
Cs1 0.101 0.000 0.303
Tl1 0.174 0.500 0.020
H1 0.237 0.000 0.713
# * D(E_F): 1.48 states/eV per cell

=====

Asked for energy relative to the lowest polymorph listed for this composition across the records above, the calculation gives 110.2, 43.3, 0.0 meV per atom in order.
Asked for calculated total energy across the records above, the calculation gives -2.196, -2.263, -2.306 eV per atom in order.